(1)
First-principles (PBE) data for Pr4NiAu3 after structural relaxation, as listed in Alexandria.

Lattice parameters (Å, degrees): 3.990 4.726 11.106 90.00 90.00 90.00
Space group Pmm2 (No. 25)
Inequivalent atoms, fractional coordinates:
Pr (0.000, 0.000, 0.000) x1
Pr (0.000, 0.500, 0.262) x1
Pr (0.500, 0.000, 0.475) x1
Pr (0.500, 0.500, 0.765) x1
Ni (0.500, 0.000, 0.206) x1
Au (0.000, 0.000, 0.712) x1
Au (0.000, 0.500, 0.540) x1
Au (0.500, 0.500, 0.049) x1

(2)
First-principles (PBE) data for Pr7Ni2Au2 after structural relaxation, as listed in Alexandria.

Lattice parameters (Å, degrees): 7.855 11.561 7.118 90.00 90.00 90.00
Space group Cmmm (No. 65)
Inequivalent atoms, fractional coordinates:
Pr (0.000, 0.000, 0.000) x2
Pr (0.000, 0.500, 0.247) x4
Pr (0.250, 0.250, 0.257) x8
Ni (0.000, 0.302, 0.000) x4
Au (0.179, 0.000, 0.500) x4

Respective energy relative to the elements values: -649 -237 meV/atom.